The following is a PBE-GGA calculation of an optimized crystal structure of TaCoMo, from Alexandria.

abc: 4.1305 4.1305 4.1305
angles: 60.00 60.00 60.00
Element x y z (fractional)
Ta (0.0000, 0.0000, 0.0000)
Co (0.2500, 0.2500, 0.2500)
Mo (0.5000, 0.5000, 0.5000)

Computed properties:
Calculated density ... 11.19 g/cm³
Calculated formation energy ... 0.431 eV/atom
E above lowest polymorph ... 0.572 eV/atom
Magnetic moment ... 0.59 μB per cell